# 1
Here is a relaxed structure of Rb2H6Pt from the Alexandria database. Energies are from GGA-PBEsol.

a = 5.858 Å, b = 5.858 Å, c = 5.858 Å
α = 60.00°, β = 60.00°, γ = 60.00°
Fractional coordinates of all 9 atoms:
H (0.199, 0.199, 0.801)
H (0.801, 0.199, 0.801)
H (0.801, 0.199, 0.199)
H (0.801, 0.801, 0.199)
H (0.199, 0.801, 0.199)
H (0.199, 0.801, 0.801)
Pt (0.000, 0.000, 0.000)
Rb (0.750, 0.750, 0.750)
Rb (0.250, 0.250, 0.250)

Results
Final energy (eV per atom): -3.603
Crystal system: cubic
Size of the total moment (μB/atom): 0.000

---

# 2
Here is a relaxed structure of BaZrCr2 from the Alexandria database. Energies are from GGA-PBEsol.

a = 4.977 Å, b = 4.977 Å, c = 4.977 Å
α = 60.00°, β = 60.00°, γ = 60.00°
Site moments in Bohr magnetons follow the coordinates.
Fractional coordinates of all 4 atoms:
Ba (0.000, 0.000, 0.000)  -0.01
Cr (0.250, 0.250, 0.250)  3.04
Cr (0.750, 0.750, 0.750)  3.04
Zr (0.500, 0.500, 0.500)  -0.58

Results
Final energy (eV per atom): -6.857
Energy of formation (meV per atom): 1074
Crystal system: cubic
Relative energy among the computed polymorphs (eV/atom): 0.3807
Size of the total moment (μB/atom): 1.423

---

# 3
Here is a relaxed structure of BeRe2Si from the Alexandria database. Energies are from GGA-PBEsol.

a = 2.771 Å, b = 4.190 Å, c = 4.791 Å
α = 100.73°, β = 90.00°, γ = 109.31°
Fractional coordinates of all 4 atoms:
Re (0.749, 0.499, 0.761)
Re (0.251, 0.501, 0.239)
Si (0.000, 0.000, 0.500)
Be (0.500, 0.000, 0.000)

Results
Final energy (eV per atom): -9.065
Crystal system: monoclinic
Size of the total moment (μB/atom): 0.000
Formation energy from raw total energies (meV per atom): 37

---

# 4
Here is a relaxed structure of Ta2TcRu from the Alexandria database. Energies are from GGA-PBEsol.

a = 4.443 Å, b = 4.443 Å, c = 4.443 Å
α = 60.00°, β = 60.00°, γ = 60.00°
Fractional coordinates of all 4 atoms:
Ru (0.500, 0.500, 0.500)
Ta (0.000, 0.000, 0.000)
Ta (0.750, 0.750, 0.750)
Tc (0.250, 0.250, 0.250)

Results
Final energy (eV per atom): -11.663
Energy of formation (meV per atom): -28
Crystal system: cubic
Size of the total moment (μB/atom): 0.000

---

# 5
Here is a relaxed structure of CoCuPt2 from the Alexandria database. Energies are from GGA-PBEsol.

a = 3.703 Å, b = 3.703 Å, c = 4.642 Å
α = 113.51°, β = 113.51°, γ = 90.00°
Site moments in Bohr magnetons follow the coordinates.
Fractional coordinates of all 4 atoms:
Co (0.500, 0.500, 0.000)  1.79
Pt (0.000, 0.000, 0.000)  0.06
Pt (0.750, 0.250, 0.500)  0.26
Cu (0.250, 0.750, 0.500)  0.28

Results
Final energy (eV per atom): -6.525
Energy of formation (meV per atom): -25
Crystal system: tetragonal
Size of the total moment (μB/atom): 0.592

---

# 6
Here is a relaxed structure of LaCdRu from the Alexandria database. Energies are from GGA-PBEsol.

a = 4.716 Å, b = 4.716 Å, c = 4.716 Å
α = 60.00°, β = 60.00°, γ = 60.00°
Fractional coordinates of all 3 atoms:
Cd (0.750, 0.750, 0.750)
La (0.000, 0.000, 0.000)
Ru (0.500, 0.500, 0.500)

Results
Final energy (eV per atom): -5.034
Energy of formation (meV per atom): 537
Crystal system: cubic
Size of the total moment (μB/atom): 0.000

---

# 7
Here is a relaxed structure of TiAl2Cl8 from the Alexandria database. Energies are from GGA-PBEsol.

a = 5.909 Å, b = 8.079 Å, c = 12.755 Å
α = 90.00°, β = 94.26°, γ = 90.00°
Site moments in Bohr magnetons follow the coordinates.
Fractional coordinates of all 22 atoms:
Ti (0.000, 0.000, 0.000)  1.60
Ti (0.000, 0.500, 0.500)  1.60
Al (0.387, 0.755, 0.921)  0.01
Al (0.613, 0.255, 0.579)  0.01
Al (0.613, 0.245, 0.079)  0.01
Al (0.387, 0.745, 0.421)  0.01
Cl (0.714, 0.030, 0.650)  0.00
Cl (0.732, 0.215, 0.922)  0.00
Cl (0.232, 0.528, 0.344)  0.00
Cl (0.243, 0.270, 0.577)  -0.01
Cl (0.268, 0.785, 0.078)  0.00
Cl (0.286, 0.530, 0.850)  0.00
Cl (0.757, 0.770, 0.923)  -0.01
Cl (0.714, 0.470, 0.150)  0.00
Cl (0.757, 0.730, 0.423)  -0.01
Cl (0.732, 0.285, 0.422)  0.00
Cl (0.768, 0.472, 0.656)  0.00
Cl (0.243, 0.230, 0.077)  -0.01
Cl (0.268, 0.715, 0.578)  0.00
Cl (0.768, 0.028, 0.156)  0.00
Cl (0.232, 0.972, 0.844)  0.00
Cl (0.286, 0.970, 0.350)  0.00

Results
Final energy (eV per atom): -4.394
Crystal system: monoclinic
Relative energy among the computed polymorphs (eV/atom): 0.0000
Size of the total moment (μB/atom): 0.182
Formation energy from raw total energies (meV per atom): -1433

---

# 8
Here is a relaxed structure of TlAgTe2 from the Alexandria database. Energies are from GGA-PBEsol.

a = 3.345 Å, b = 3.345 Å, c = 9.409 Å
α = 90.00°, β = 90.00°, γ = 90.00°
Fractional coordinates of all 4 atoms:
Tl (0.500, 0.500, 0.000)
Te (0.000, 0.000, 0.714)
Te (0.000, 0.000, 0.286)
Ag (0.500, 0.500, 0.500)

Results
Final energy (eV per atom): -3.192
Crystal system: tetragonal
Size of the total moment (μB/atom): 0.000
Formation energy from raw total energies (meV per atom): 56

---

# 9
Here is a relaxed structure of Rb3CuBr from the Alexandria database. Energies are from GGA-PBEsol.

a = 6.439 Å, b = 6.439 Å, c = 6.439 Å
α = 90.00°, β = 90.00°, γ = 90.00°
Fractional coordinates of all 5 atoms:
Cu (0.500, 0.500, 0.500)
Br (0.000, 0.000, 0.000)
Rb (0.000, 0.500, 0.000)
Rb (0.000, 0.000, 0.500)
Rb (0.500, 0.000, 0.000)

Results
Final energy (eV per atom): -2.097
Crystal system: cubic
Size of the total moment (μB/atom): 0.000
Formation energy from raw total energies (meV per atom): -241

---

# 10
Here is a relaxed structure of ScHg2Se from the Alexandria database. Energies are from GGA-PBEsol.

a = 3.561 Å, b = 3.981 Å, c = 6.963 Å
α = 106.61°, β = 104.81°, γ = 90.00°
Fractional coordinates of all 4 atoms:
Hg (0.799, 0.799, 0.598)
Hg (0.201, 0.201, 0.402)
Sc (0.500, 0.000, 0.000)
Se (0.000, 0.500, 0.000)

Results
Final energy (eV per atom): -3.532
Crystal system: orthorhombic
Size of the total moment (μB/atom): 0.000
Formation energy from raw total energies (meV per atom): -635

---

# 11
Here is a relaxed structure of La3AlH from the Alexandria database. Energies are from GGA-PBEsol.

a = 4.944 Å, b = 4.944 Å, c = 4.944 Å
α = 90.00°, β = 90.00°, γ = 90.00°
Fractional coordinates of all 5 atoms:
H (0.000, 0.000, 0.000)
Al (0.500, 0.500, 0.500)
La (0.000, 0.500, 0.000)
La (0.000, 0.000, 0.500)
La (0.500, 0.000, 0.000)

Results
Final energy (eV per atom): -4.965
Crystal system: cubic
Size of the total moment (μB/atom): 0.000

---

# 12
Here is a relaxed structure of CaSc2P from the Alexandria database. Energies are from GGA-PBEsol.

a = 3.503 Å, b = 3.503 Å, c = 7.463 Å
α = 90.00°, β = 90.00°, γ = 90.00°
Site moments in Bohr magnetons follow the coordinates.
Fractional coordinates of all 4 atoms:
Ca (0.000, 0.000, 0.549)  0.00
P (0.500, 0.500, 0.815)  -0.01
Sc (0.000, 0.000, 0.943)  0.20
Sc (0.500, 0.500, 0.192)  0.26

Results
Final energy (eV per atom): -5.847
Energy of formation (meV per atom): -563
Crystal system: tetragonal
Size of the total moment (μB/atom): 0.196

---

# 13
Here is a relaxed structure of InReSe3 from the Alexandria database. Energies are from GGA-PBEsol.

a = 5.114 Å, b = 5.114 Å, c = 5.114 Å
α = 90.00°, β = 90.00°, γ = 90.00°
Site moments in Bohr magnetons follow the coordinates.
Fractional coordinates of all 5 atoms:
Re (0.500, 0.500, 0.500)  3.87
Se (0.000, 0.500, 0.000)  -0.15
Se (0.000, 0.000, 0.500)  -0.15
Se (0.500, 0.000, 0.000)  -0.15
In (0.000, 0.000, 0.000)  0.01

Results
Final energy (eV per atom): -4.046
Crystal system: cubic
Size of the total moment (μB/atom): 0.819
Formation energy from raw total energies (meV per atom): 1527